1.
LaPm8Sm6, relaxed, DFT GGA-PBE; energy relative to the elements = 14 kJ/mol of atoms; offset from the most stable computed form = 0 meV/atom; uncorrected energy = -4.61 eV per atom
1.0
10.021 0.000 0.000
-5.010 8.678 0.000
0.000 0.000 6.001
La Pm Sm
1 8 6
Direct
0.000 0.000 0.000 La
0.052 0.780 0.276 Pm
0.220 0.272 0.276 Pm
0.272 0.052 0.724 Pm
0.333 0.667 0.279 Pm
0.667 0.333 0.721 Pm
0.728 0.948 0.276 Pm
0.780 0.728 0.724 Pm
0.948 0.220 0.724 Pm
0.091 0.622 0.759 Sm
0.378 0.470 0.759 Sm
0.470 0.091 0.241 Sm
0.530 0.909 0.759 Sm
0.622 0.530 0.241 Sm
0.909 0.378 0.241 Sm

=====

2.
La4Pm4Sm3, relaxed, DFT GGA-PBE; energy relative to the elements = 12 kJ/mol of atoms; offset from the most stable computed form = 0 meV/atom; uncorrected energy = -4.69 eV per atom
1.0
-1.831 4.840 11.225
1.831 -4.840 11.225
1.831 4.840 -11.225
La Pm Sm
4 4 3
Direct
0.024 0.855 0.169 La
0.315 0.145 0.169 La
0.685 0.855 0.831 La
0.976 0.145 0.831 La
0.264 0.764 0.500 Pm
0.313 0.000 0.313 Pm
0.687 0.000 0.687 Pm
0.736 0.236 0.500 Pm
0.000 0.500 0.500 Sm
0.395 0.395 0.000 Sm
0.605 0.605 0.000 Sm

=====

3.
La3Pm8Sm4, relaxed, DFT GGA-PBE; energy relative to the elements = 32 kJ/mol of atoms; uncorrected energy = -4.44 eV per atom
1.0
6.841 -6.517 0.000
6.841 6.517 0.000
-3.523 0.000 6.002
La Pm Sm
3 8 4
Direct
0.000 0.000 0.000 La
0.000 0.500 0.500 La
0.500 0.000 0.500 La
0.146 0.854 0.500 Pm
0.231 0.231 0.492 Pm
0.237 0.237 0.969 Pm
0.243 0.757 0.000 Pm
0.757 0.243 0.000 Pm
0.763 0.763 0.031 Pm
0.769 0.769 0.508 Pm
0.854 0.146 0.500 Pm
0.000 0.500 0.000 Sm
0.500 0.000 0.000 Sm
0.500 0.500 0.000 Sm
0.500 0.500 0.500 Sm

=====

4.
La4Pm5Sm4, relaxed, DFT GGA-PBE; energy relative to the elements = 2 kJ/mol of atoms; uncorrected energy = -4.78 eV per atom
1.0
-6.631 6.631 2.597
6.631 -6.631 2.597
6.631 6.631 -2.597
La Pm Sm
4 5 4
Direct
0.077 0.383 0.461 La
0.383 0.923 0.306 La
0.617 0.077 0.694 La
0.923 0.617 0.539 La
0.000 0.000 0.000 Pm
0.310 0.540 0.850 Pm
0.460 0.310 0.770 Pm
0.540 0.690 0.230 Pm
0.690 0.460 0.150 Pm
0.153 0.770 0.923 Sm
0.230 0.153 0.384 Sm
0.770 0.847 0.616 Sm
0.847 0.230 0.077 Sm

=====

5.
LaPm5Sm8, relaxed, DFT GGA-PBE; energy relative to the elements = 21 kJ/mol of atoms; uncorrected energy = -4.52 eV per atom
1.0
-4.833 4.833 5.239
4.833 -4.833 5.239
4.833 4.833 -5.239
La Pm Sm
1 5 8
Direct
0.000 0.000 0.000 La
0.213 0.612 0.181 Pm
0.388 0.568 0.601 Pm
0.432 0.032 0.819 Pm
0.750 0.250 0.500 Pm
0.968 0.787 0.399 Pm
0.077 0.676 0.761 Sm
0.178 0.283 0.749 Sm
0.324 0.085 0.401 Sm
0.535 0.429 0.251 Sm
0.571 0.822 0.105 Sm
0.684 0.923 0.599 Sm
0.717 0.465 0.895 Sm
0.915 0.316 0.239 Sm

=====

6.
La2Pm5Sm4, relaxed, DFT GGA-PBE; energy relative to the elements = 12 kJ/mol of atoms; offset from the most stable computed form = 0 meV/atom; uncorrected energy = -4.65 eV per atom
1.0
5.650 -3.764 0.000
5.650 3.764 0.000
-2.830 0.000 9.052
La Pm Sm
2 5 4
Direct
0.142 0.142 0.128 La
0.858 0.858 0.872 La
0.000 0.000 0.500 Pm
0.218 0.648 0.235 Pm
0.352 0.782 0.765 Pm
0.648 0.218 0.235 Pm
0.782 0.352 0.765 Pm
0.308 0.308 0.505 Sm
0.329 0.329 0.880 Sm
0.671 0.671 0.120 Sm
0.692 0.692 0.495 Sm

=====

7.
La8PmSm4, relaxed, DFT GGA-PBE; energy relative to the elements = 35 kJ/mol of atoms; uncorrected energy = -4.48 eV per atom
1.0
5.971 3.447 3.977
-5.971 3.447 3.977
0.000 -6.895 3.977
La Pm Sm
8 1 4
Direct
0.169 0.169 0.673 La
0.169 0.673 0.169 La
0.240 0.240 0.240 La
0.327 0.831 0.831 La
0.673 0.169 0.169 La
0.760 0.760 0.760 La
0.831 0.327 0.831 La
0.831 0.831 0.327 La
0.500 0.500 0.500 Pm
0.000 0.000 0.000 Sm
0.000 0.500 0.500 Sm
0.500 0.000 0.500 Sm
0.500 0.500 0.000 Sm

=====

8.
La2Pm7Sm2, relaxed, DFT GGA-PBE; energy relative to the elements = 16 kJ/mol of atoms; offset from the most stable computed form = 20 meV/atom; uncorrected energy = -4.62 eV per atom
1.0
-1.824 9.195 5.821
1.824 -9.195 5.821
1.824 9.195 -5.821
La Pm Sm
2 7 2
Direct
0.206 0.000 0.206 La
0.794 0.000 0.794 La
0.077 0.737 0.340 Pm
0.374 0.499 0.875 Pm
0.398 0.737 0.660 Pm
0.585 0.255 0.330 Pm
0.624 0.499 0.125 Pm
0.925 0.255 0.670 Pm
0.961 0.961 0.000 Pm
0.278 0.278 0.000 Sm
0.671 0.171 0.500 Sm

=====

9.
LaPm8Sm2, relaxed, DFT GGA-PBE; energy relative to the elements = 10 kJ/mol of atoms; offset from the most stable computed form = 0 meV/atom; uncorrected energy = -4.65 eV per atom
1.0
-2.845 4.191 8.071
2.845 -4.191 8.071
2.845 4.191 -8.071
La Pm Sm
1 8 2
Direct
0.000 0.000 0.000 La
0.156 0.861 0.295 Pm
0.161 0.661 0.500 Pm
0.295 0.500 0.795 Pm
0.435 0.139 0.295 Pm
0.565 0.861 0.705 Pm
0.705 0.500 0.205 Pm
0.839 0.339 0.500 Pm
0.844 0.139 0.705 Pm
0.300 0.300 0.000 Sm
0.700 0.700 0.000 Sm

=====

10.
La3Pm4Sm4, relaxed, DFT GGA-PBE; energy relative to the elements = 14 kJ/mol of atoms; offset from the most stable computed form = 13 meV/atom; uncorrected energy = -4.64 eV per atom
1.0
10.916 0.000 0.000
0.000 2.932 6.130
0.000 -2.932 6.130
La Pm Sm
3 4 4
Direct
0.000 0.000 0.000 La
0.293 0.155 0.155 La
0.707 0.155 0.155 La
0.000 0.702 0.702 Pm
0.214 0.495 0.495 Pm
0.500 0.634 0.634 Pm
0.786 0.495 0.495 Pm
0.000 0.301 0.301 Sm
0.302 0.853 0.853 Sm
0.500 0.362 0.362 Sm
0.698 0.853 0.853 Sm

=====

11.
La5Pm12Sm2, relaxed, DFT GGA-PBE; energy relative to the elements = 18 kJ/mol of atoms; offset from the most stable computed form = 83 meV/atom; uncorrected energy = -4.60 eV per atom
1.0
9.433 -4.109 0.000
9.433 4.109 0.000
-3.172 0.000 8.819
La Pm Sm
5 12 2
Direct
0.000 0.000 0.000 La
0.233 0.233 0.703 La
0.306 0.306 0.321 La
0.694 0.694 0.679 La
0.767 0.767 0.297 La
0.048 0.048 0.680 Pm
0.072 0.658 0.658 Pm
0.073 0.612 0.024 Pm
0.342 0.928 0.342 Pm
0.388 0.927 0.976 Pm
0.496 0.496 0.831 Pm
0.504 0.504 0.169 Pm
0.612 0.073 0.024 Pm
0.658 0.072 0.658 Pm
0.927 0.388 0.976 Pm
0.928 0.342 0.342 Pm
0.952 0.952 0.320 Pm
0.322 0.678 0.500 Sm
0.678 0.322 0.500 Sm

=====

12.
La6Pm5Sm, relaxed, DFT GGA-PBE; energy relative to the elements = 2 kJ/mol of atoms; offset from the most stable computed form = 2 meV/atom; uncorrected energy = -4.82 eV per atom
1.0
-2.627 5.173 7.876
2.627 -5.173 7.876
2.627 5.173 -7.876
La Pm Sm
6 5 1
Direct
0.083 0.333 0.750 La
0.250 0.000 0.250 La
0.416 0.667 0.750 La
0.584 0.333 0.250 La
0.750 0.000 0.750 La
0.917 0.667 0.250 La
0.167 0.167 0.000 Pm
0.333 0.833 0.500 Pm
0.500 0.500 0.000 Pm
0.667 0.167 0.500 Pm
0.833 0.833 0.000 Pm
0.000 0.500 0.500 Sm

=====

13.
LaPm3Sm5, relaxed, DFT GGA-PBE; energy relative to the elements = 44 kJ/mol of atoms; offset from the most stable computed form = 184 meV/atom; uncorrected energy = -4.30 eV per atom
1.0
7.754 -5.816 0.000
7.754 5.816 0.000
-6.324 0.000 7.651
La Pm Sm
2 6 10
Direct
0.246 0.246 0.417 La
0.754 0.754 0.583 La
0.000 0.000 0.000 Pm
0.017 0.017 0.355 Pm
0.496 0.496 0.185 Pm
0.500 0.500 0.500 Pm
0.504 0.504 0.815 Pm
0.983 0.983 0.645 Pm
0.107 0.607 0.258 Sm
0.227 0.227 0.052 Sm
0.255 0.745 0.000 Sm
0.276 0.276 0.778 Sm
0.393 0.893 0.742 Sm
0.607 0.107 0.258 Sm
0.724 0.724 0.222 Sm
0.745 0.255 0.000 Sm
0.773 0.773 0.948 Sm
0.893 0.393 0.742 Sm

=====

14.
La12Pm3Sm, relaxed, DFT GGA-PBE; energy relative to the elements = 1 kJ/mol of atoms; uncorrected energy = -4.87 eV per atom
1.0
5.240 0.000 0.000
0.000 5.240 0.000
0.000 0.000 20.946
La Pm Sm
12 3 1
Direct
0.000 0.000 0.000 La
0.000 0.000 0.250 La
0.000 0.000 0.500 La
0.000 0.000 0.750 La
0.000 0.500 0.125 La
0.000 0.500 0.375 La
0.000 0.500 0.625 La
0.000 0.500 0.875 La
0.500 0.000 0.125 La
0.500 0.000 0.375 La
0.500 0.000 0.625 La
0.500 0.000 0.875 La
0.500 0.500 0.000 Pm
0.500 0.500 0.250 Pm
0.500 0.500 0.750 Pm
0.500 0.500 0.500 Sm

=====

15.
LaPm2Sm, relaxed, DFT GGA-PBE; energy relative to the elements = 2 kJ/mol of atoms; offset from the most stable computed form = 3 meV/atom; uncorrected energy = -4.77 eV per atom
1.0
1.838 1.061 11.980
-1.838 1.061 11.980
0.000 -2.122 11.980
La Pm Sm
1 2 1
Direct
0.000 0.000 0.000 La
0.581 0.581 0.581 Pm
0.752 0.752 0.752 Pm
0.167 0.167 0.167 Sm

=====

16.
La2PmSm, relaxed, DFT GGA-PBE; energy relative to the elements = 11 kJ/mol of atoms; offset from the most stable computed form = 100 meV/atom; uncorrected energy = -4.72 eV per atom
1.0
0.000 4.159 4.159
4.159 0.000 4.159
4.159 4.159 0.000
La Pm Sm
2 1 1
Direct
0.250 0.250 0.250 La
0.750 0.750 0.750 La
0.000 0.000 0.000 Pm
0.500 0.500 0.500 Sm

=====

17.
La15Pm4Sm, relaxed, DFT GGA-PBE; energy relative to the elements = 1 kJ/mol of atoms; uncorrected energy = -4.87 eV per atom
1.0
5.237 0.000 0.000
0.000 5.237 0.000
0.000 0.000 26.291
La Pm Sm
15 4 1
Direct
0.000 0.000 0.000 La
0.000 0.000 0.200 La
0.000 0.000 0.400 La
0.000 0.000 0.600 La
0.000 0.000 0.800 La
0.000 0.500 0.100 La
0.000 0.500 0.300 La
0.000 0.500 0.500 La
0.000 0.500 0.700 La
0.000 0.500 0.900 La
0.500 0.000 0.100 La
0.500 0.000 0.300 La
0.500 0.000 0.500 La
0.500 0.000 0.700 La
0.500 0.000 0.900 La
0.500 0.500 0.200 Pm
0.500 0.500 0.400 Pm
0.500 0.500 0.600 Pm
0.500 0.500 0.800 Pm
0.500 0.500 0.000 Sm

=====

18.
La2Pm3Sm7, relaxed, DFT GGA-PBE; energy relative to the elements = 7 kJ/mol of atoms; offset from the most stable computed form = 0 meV/atom; uncorrected energy = -4.69 eV per atom
1.0
6.493 0.000 0.000
0.000 3.597 0.000
-1.950 0.000 17.829
La Pm Sm
2 3 7
Direct
0.058 0.000 0.171 La
0.942 0.000 0.829 La
0.453 0.500 0.840 Pm
0.500 0.000 0.500 Pm
0.547 0.500 0.160 Pm
0.000 0.500 0.500 Sm
0.227 0.000 0.666 Sm
0.257 0.000 0.999 Sm
0.275 0.500 0.336 Sm
0.725 0.500 0.664 Sm
0.743 0.000 0.001 Sm
0.773 0.000 0.334 Sm

=====

19.
La2PmSm7, relaxed, DFT GGA-PBE; energy relative to the elements = 6 kJ/mol of atoms; offset from the most stable computed form = 0 meV/atom; uncorrected energy = -4.70 eV per atom
1.0
9.084 -3.566 0.000
9.084 3.566 0.000
-1.721 0.000 5.331
La Pm Sm
2 1 7
Direct
0.199 0.199 0.199 La
0.801 0.801 0.801 La
0.500 0.500 0.000 Pm
0.000 0.000 0.000 Sm
0.147 0.644 0.396 Sm
0.302 0.302 0.802 Sm
0.356 0.853 0.604 Sm
0.644 0.147 0.396 Sm
0.698 0.698 0.198 Sm
0.853 0.356 0.604 Sm

=====

20.
La4PmSm7, relaxed, DFT GGA-PBE; energy relative to the elements = 1 kJ/mol of atoms; offset from the most stable computed form = 0 meV/atom; uncorrected energy = -4.78 eV per atom
1.0
3.669 0.000 0.000
-1.835 3.178 0.000
0.000 0.000 35.991
La Pm Sm
4 1 7
Direct
0.333 0.667 0.166 La
0.333 0.667 0.416 La
0.667 0.333 0.584 La
0.667 0.333 0.834 La
0.000 0.000 0.000 Pm
0.000 0.000 0.251 Sm
0.000 0.000 0.500 Sm
0.000 0.000 0.749 Sm
0.333 0.667 0.668 Sm
0.333 0.667 0.918 Sm
0.667 0.333 0.082 Sm
0.667 0.333 0.332 Sm